Record 1
The following is a PBE-GGA calculation of a geometry-optimized SmScCd11 structure, from the Alexandria database.

The space group is C2/m (No. 12) and the conventional cell measures 6.0952, 13.9670 and 7.7247 Å, with angles of 90.00, 112.99 and 90.00 degrees. The inequivalent atoms are Sm at (0.0000, 0.0000, 0.0000), Sc at (0.0000, 0.0000, 0.5000), Cd at (0.0000, 0.5000, 0.5000), Cd at (0.1121, 0.3928, 0.2135), Cd at (0.1680, 0.1732, 0.3471) and Cd at (0.2500, 0.2500, 0.0000).

For the energy, the calculation gives -1.755 eV per atom. As for the energy of formation: -12.6 kJ per mole of atoms.

***

Record 2
The following is a PBE-GGA calculation of a geometry-optimized Sm4ScCd3 structure, from the Alexandria database.

The space group is Pmmm (No. 47) and the conventional cell measures 3.7418, 5.4329 and 11.0149 Å, with angles of 90.00, 90.00 and 90.00 degrees. The inequivalent atoms are Sm at (0.0000, 0.0000, 0.0000), Sm at (0.0000, 0.0000, 0.5000), Sm at (0.0000, 0.5000, 0.2450), Sc at (0.5000, 0.5000, 0.5000), Cd at (0.5000, 0.0000, 0.2556) and Cd at (0.5000, 0.5000, 0.0000).

For the energy, the calculation gives -3.693 eV per atom. As for the energy of formation: -19.2 kJ per mole of atoms.

***

Record 3
The following is a PBE-GGA calculation of a geometry-optimized SmSc7Cd4 structure, from the Alexandria database.

The space group is C2/m (No. 12) and the conventional cell measures 14.0357, 5.3366 and 9.1728 Å, with angles of 90.00, 121.73 and 90.00 degrees. The inequivalent atoms are Sm at (0.0000, 0.0000, 0.0000), Sc at (0.0000, 0.5000, 0.0000), Sc at (0.0735, 0.0000, 0.4230), Sc at (0.2103, 0.0000, 0.8819), Sc at (0.2407, 0.5000, 0.6968), Cd at (0.0461, 0.5000, 0.7129) and Cd at (0.1810, 0.5000, 0.3403).

For the energy, the calculation gives -4.354 eV per atom. As for the energy of formation: 3.6 kJ per mole of atoms.

***

Record 4
The following is a PBE-GGA calculation of a geometry-optimized SmSc2Cd6 structure, from the Alexandria database.

The space group is P6/mmm (No. 191) and the conventional cell measures 8.5491, 8.5491 and 3.2926 Å, with angles of 90.00, 90.00 and 120.00 degrees. The inequivalent atoms are Sm at (0.0000, 0.0000, 0.0000), Sc at (0.3333, 0.6667, 0.0000) and Cd at (0.0000, 0.3380, 0.5000).

For the energy, the calculation gives -2.796 eV per atom. As for the energy of formation: -24.6 kJ per mole of atoms.